Be2ZnTc: PBEsol geometry, meta-GGA SCAN.

Output
E   -14.1468 eV/atom
Calculated formation energy   0.174 eV per atom

a b c (Å): 3.0485 3.9739 7.5419
angles (deg): 90.00 90.00 90.00
With the nearest neighbours (Å) after each atom.
Space group Cmm2 (No. 35)
Inequivalent atoms, fractional coordinates:
Be (0.0000, 0.0000, 0.0000) (multiplicity 2)  2 Be 2.22, 2 Tc 2.38
Be (0.0000, 0.5000, 0.2143) (multiplicity 2)  2 Be 2.22, 2 Zn 2.43
Zn (0.0000, 0.0000, 0.4647) (multiplicity 2)  2 Be 2.43, 4 Zn 2.50, 2 Tc 2.68
Tc (0.0000, 0.5000, 0.7575) (multiplicity 2)  2 Be 2.38, 4 Tc 2.50



Be2ZnTc: PBEsol geometry, meta-GGA SCAN.

Output
E   -14.1973 eV/atom
Calculated formation energy   0.123 eV per atom

a b c (Å): 2.6139 2.6139 23.6829
angles (deg): 90.00 90.00 120.00
With the nearest neighbours (Å) after each atom.
Space group R-3m (No. 166, hexagonal axes)
Inequivalent atoms, fractional coordinates:
Be (0.0000, 0.0000, 0.2484) (multiplicity 6)  3 Tc 2.45, 3 Zn 2.52, 6 Be 2.61
Zn (0.0000, 0.0000, 0.0000) (multiplicity 3)  6 Be 2.52, 6 Zn 2.61
Tc (0.0000, 0.0000, 0.5000) (multiplicity 3)  6 Be 2.45, 6 Tc 2.61



Be2ZnTc: PBEsol geometry, meta-GGA SCAN.

Output
E   -14.2822 eV/atom
Calculated formation energy   0.038 eV per atom

a b c (Å): 2.5296 3.0036 5.7638
angles (deg): 90.00 90.00 90.00
With the nearest neighbours (Å) after each atom.
Space group Pmm2 (No. 25)
Inequivalent atoms, fractional coordinates:
Be (0.0000, 0.0000, 0.0000) (multiplicity 1)  4 Be 2.23, 4 Zn 2.45, 1 Tc 2.46
Be (0.5000, 0.5000, 0.1839) (multiplicity 1)  4 Be 2.23, 4 Tc 2.41
Zn (0.5000, 0.5000, 0.7467) (multiplicity 1)  5 Be 2.45-2.52, 2 Zn 2.53, 4 Tc 2.70
Tc (0.0000, 0.0000, 0.4263) (multiplicity 1)  5 Be 2.41-2.46, 2 Tc 2.53, 4 Zn 2.70



Be2ZnTc: PBEsol geometry, meta-GGA SCAN.

Output
E   -14.2460 eV/atom
Calculated formation energy   0.075 eV per atom

a b c (Å): 2.7071 4.2110 7.9529
angles (deg): 90.00 90.00 90.00
With the nearest neighbours (Å) after each atom.
Space group Immm (No. 71)
Inequivalent atoms, fractional coordinates:
Be (0.0000, 0.0000, 0.2464) (multiplicity 4)  2 Zn 2.38, 2 Tc 2.43, 4 Be 2.50
Zn (0.0000, 0.5000, 0.5000) (multiplicity 2)  4 Be 2.38, 4 Tc 2.50
Tc (0.0000, 0.5000, 0.0000) (multiplicity 2)  4 Be 2.43, 4 Zn 2.50, 2 Tc 2.71



Be2ZnTc: PBEsol geometry, meta-GGA SCAN.

Output
E   -14.4201 eV/atom
Calculated formation energy   -0.100 eV per atom

a b c (Å): 3.3103 3.3103 7.9410
angles (deg): 90.00 90.00 90.00
With the nearest neighbours (Å) after each atom.
Space group I-4m2 (No. 119)
Inequivalent atoms, fractional coordinates:
Be (0.0000, 0.0000, 0.0000) (multiplicity 2)  4 Tc 2.34, 4 Be 2.58, 4 Zn 2.58
Be (0.0000, 0.5000, 0.2500) (multiplicity 2)  4 Zn 2.34, 4 Tc 2.58, 4 Be 2.58
Zn (0.0000, 0.5000, 0.7500) (multiplicity 2)  8 Be 2.34-2.58, 4 Tc 2.58
Tc (0.0000, 0.0000, 0.5000) (multiplicity 2)  8 Be 2.34-2.58, 4 Zn 2.58



ZrBe2Tc: PBEsol geometry, meta-GGA SCAN.

Output
Energy above the lowest structure with this stoichiometry   335 meV/atom
E   -18.5722 eV/atom
Calculated formation energy   0.044 eV per atom

a b c (Å): 2.5326 3.1266 6.5878
angles (deg): 90.00 90.00 90.00
With the nearest neighbours (Å) after each atom.
Space group Pmm2 (No. 25)
Inequivalent atoms, fractional coordinates:
Zr (0.0000, 0.0000, 0.0000) (multiplicity 1)  2 Zr 2.53, 4 Be 2.82
Be (0.0000, 0.0000, 0.4525) (multiplicity 1)  4 Be 2.25, 4 Tc 2.48
Be (0.5000, 0.5000, 0.2998) (multiplicity 1)  4 Be 2.25, 1 Tc 2.45
Tc (0.5000, 0.5000, 0.6718) (multiplicity 1)  5 Be 2.45-2.48, 2 Tc 2.53



ZrBe4Tc: PBEsol geometry, meta-GGA SCAN.

Output
E   -14.2181 eV/atom
Calculated formation energy   -0.356 eV per atom

a b c (Å): 6.4338 6.4338 6.4338
angles (deg): 90.00 90.00 90.00
With the nearest neighbours (Å) after each atom.
Space group F-43m (No. 216)
Inequivalent atoms, fractional coordinates:
Zr (0.0000, 0.0000, 0.0000) (multiplicity 4)  12 Be 2.67, 4 Tc 2.79
Be (0.1228, 0.1228, 0.6228) (multiplicity 16)  6 Be 2.23-2.31
Tc (0.2500, 0.2500, 0.2500) (multiplicity 4)  12 Be 2.66, 4 Zr 2.79



ZrBe2Tc: PBEsol geometry, meta-GGA SCAN.

Output
Energy above the lowest structure with this stoichiometry   0 meV/atom
E   -18.9073 eV/atom
Calculated formation energy   -0.291 eV per atom

a b c (Å): 3.3791 3.2488 9.2646
angles (deg): 90.00 90.00 90.00
With the nearest neighbours (Å) after each atom.
Space group Amm2 (No. 38)
Inequivalent atoms, fractional coordinates:
Zr (0.0000, 0.0000, 0.0000) (multiplicity 2)  7 Be 2.48-2.70
Be (0.0000, 0.0000, 0.7328) (multiplicity 2)  2 Be 2.02
Be (0.5000, 0.0000, 0.6127) (multiplicity 2)  2 Be 2.02
Tc (0.5000, 0.0000, 0.3079) (multiplicity 2)  6 Be 2.43-2.44